First-principles (PBE-GGA) data for a geometry-optimized AsAu2S6 structure, as listed in Alexandria via LeMat-Bulk.

Unit cell a=7.476 b=7.476 c=10.254 alpha=90.00 beta=90.00 gamma=90.00
Space group P4_2/mnm (No. 136)
Unique sites:
As 0.000 0.000 0.000 [2 per cell]
Au 0.000 0.000 0.328 [4 per cell]
S 0.147 0.147 0.500 [4 per cell]
S 0.148 0.148 0.157 [8 per cell]

Summary:
Calculated total energy, eV per atom: -3.7361
Mass density, g/cm3: 3.832
Magnetic moment, μB/atom: 0.1178
Density of states at the Fermi level, states/eV/atom: 0.43
Calculated volume, Å³/cell: 573

First-principles (PBE-GGA) data for a geometry-optimized As2AuS4 structure, as listed in Alexandria via LeMat-Bulk.

Unit cell a=6.947 b=6.947 c=6.841 alpha=90.00 beta=90.00 gamma=90.00
Space group I4/m (No. 87)
Unique sites:
As 0.000 0.500 0.250 [4 per cell]
Au 0.000 0.000 0.000 [2 per cell]
S 0.181 0.302 0.000 [8 per cell]

Summary:
Calculated total energy, eV per atom: -3.9744
Mass density, g/cm3: 4.780
Magnetic moment, μB/atom: 0.0000
Density of states at the Fermi level, states/eV/atom: 0.45
Energy above the most stable polymorph in this dataset, eV per atom: 0.0000
Calculated volume, Å³/cell: 330

First-principles (PBE-GGA) data for a geometry-optimized As3AuS3 structure, as listed in Alexandria via LeMat-Bulk.

Unit cell a=7.4483 b=7.4483 c=27.3680 alpha=90.00 beta=90.00 gamma=120.00
Space group R-3 (No. 148, hexagonal axes)
Unique sites:
As 0.0504 0.5827 0.4455 [18 per cell]
Au 0.0000 0.0000 0.1485 [6 per cell]
S 0.0205 0.5837 0.9300 [18 per cell]

Summary:
Calculated total energy, eV per atom: -4.1733
Mass density, g/cm3: 3.924
Magnetic moment, μB/atom: 0.0000
Density of states at the Fermi level, states/eV/atom: 0.30
Calculated volume, Å³/cell: 1315

First-principles (PBE-GGA) data for a geometry-optimized AsAuS3 structure, as listed in Alexandria via LeMat-Bulk.

Unit cell a=3.497 b=7.996 c=12.758 alpha=90.00 beta=90.00 gamma=90.00
Space group Amm2 (No. 38)
Unique sites:
As 0.000 0.000 0.000 [2 per cell]
Au 0.500 0.000 0.430 [2 per cell]
S 0.000 0.198 0.415 [4 per cell]
S 0.500 0.000 0.119 [2 per cell]

Summary:
Calculated total energy, eV per atom: -3.9884
Mass density, g/cm3: 3.426
Magnetic moment, μB/atom: 0.0000
Density of states at the Fermi level, states/eV/atom: 0.01
Energy above the most stable polymorph in this dataset, eV per atom: 0.0000
Calculated volume, Å³/cell: 357

First-principles (PBE-GGA) data for a geometry-optimized As2AuS4 structure, as listed in Alexandria via LeMat-Bulk.

Unit cell a=4.938 b=4.938 c=17.812 alpha=90.00 beta=90.00 gamma=90.00
Space group I4/mmm (No. 139)
Unique sites:
As 0.000 0.000 0.083 [4 per cell]
Au 0.000 0.000 0.500 [2 per cell]
S 0.000 0.000 0.197 [4 per cell]
S 0.000 0.500 0.000 [4 per cell]

Summary:
Calculated total energy, eV per atom: -3.9287
Mass density, g/cm3: 3.633
Magnetic moment, μB/atom: 0.0000
Density of states at the Fermi level, states/eV/atom: 0.57
Energy above the most stable polymorph in this dataset, eV per atom: 0.0457
Calculated volume, Å³/cell: 434

First-principles (PBE-GGA) data for a geometry-optimized AsAuS3 structure, as listed in Alexandria via LeMat-Bulk.

Unit cell a=4.727 b=4.727 c=4.727 alpha=90.00 beta=90.00 gamma=90.00
Space group Pm-3m (No. 221)
Unique sites:
As 0.000 0.000 0.000 [1 per cell]
Au 0.500 0.500 0.500 [1 per cell]
S 0.000 0.000 0.500 [3 per cell]

Summary:
Calculated total energy, eV per atom: -3.2644
Mass density, g/cm3: 5.787
Magnetic moment, μB/atom: 0.0000
Density of states at the Fermi level, states/eV/atom: 1.05
Energy above the most stable polymorph in this dataset, eV per atom: 0.7239
Calculated volume, Å³/cell: 106